Record 1
This record from Alexandria via LeMat-Bulk describes KTaAg2 after structural relaxation. The functional is PBE.

- DFT formation energy: 691 meV/atom
- Electronic total energy: -15.89 eV for the cell shown

Cell lengths 6.6197, 6.6197, 6.6197 Å; angles 155.66, 131.94, 54.59 degrees
Fractional positions:
Ag 0.9980 0.9980 0.0000
Ag 0.7766 0.2766 0.5000
K 0.5081 0.5081 0.0000
Ta 0.2174 0.7174 0.5000

Record 2
This record from Alexandria via LeMat-Bulk describes Er6Fe2Ge after structural relaxation. The functional is PBE.

- DFT formation energy: -238 meV/atom
- Electronic total energy: -102.12 eV for the cell shown

Cell lengths 8.2147, 8.2147, 8.2147 Å; angles 106.96, 110.50, 110.98 degrees
Fractional positions:
Er 0.5349 0.7192 0.8157
Er 0.4651 0.2808 0.1843
Er 0.0965 0.2808 0.8157
Er 0.9035 0.7192 0.1843
Er 0.7936 0.7675 0.5611
Er 0.2064 0.2325 0.4389
Er 0.2064 0.7675 0.9739
Er 0.7936 0.2325 0.0261
Er 0.7009 0.3835 0.6826
Er 0.2991 0.6165 0.3174
Er 0.2991 0.9816 0.6826
Er 0.7009 0.0184 0.3174
Fe 0.5000 0.3899 0.8899
Fe 0.5000 0.6101 0.1101
Fe 0.6183 0.0000 0.6183
Fe 0.3817 0.0000 0.3817
Ge 0.0000 0.5000 0.5000
Ge 0.0000 0.0000 0.0000

Record 3
This record from Alexandria via LeMat-Bulk describes Sm6ErAl2 after structural relaxation. The functional is PBE.

- DFT formation energy: -147 meV/atom
- Electronic total energy: -41.69 eV for the cell shown

Cell lengths 3.7436, 6.6448, 11.6494 Å; angles 75.79, 80.75, 73.64 degrees
Fractional positions:
Sm 0.6853 0.5063 0.1231
Sm 0.3147 0.4937 0.8769
Sm 0.3109 0.7875 0.5908
Sm 0.9748 0.7247 0.3258
Sm 0.0252 0.2753 0.6742
Sm 0.6891 0.2125 0.4092
Er 0.0000 0.0000 0.0000
Al 0.3524 0.0985 0.1966
Al 0.6476 0.9015 0.8034

Record 4
This record from Alexandria via LeMat-Bulk describes KCo2Hg after structural relaxation. The functional is PBE.

- DFT formation energy: 939 meV/atom
- Electronic total energy: -11.85 eV for the cell shown

Cell lengths 6.0950, 6.0950, 6.0950 Å; angles 152.98, 128.27, 59.32 degrees
Fractional positions:
Co 0.9718 0.9718 0.0000
Co 0.5282 0.5282 0.0000
Hg 0.7500 0.2500 0.5000
K 0.2500 0.7500 0.5000

Record 5
This record from Alexandria via LeMat-Bulk describes Li2ThNpO6 after structural relaxation. The functional is PBE.

- Uncorrected formation energy: -28.558 eV per formula unit
- Electronic total energy: -164.99 eV for the cell shown

Cell lengths 5.5158, 6.0731, 8.3110 Å; angles 90.00, 90.06, 90.00 degrees
Fractional positions:
Li 0.0100 0.0748 0.2511
Li 0.4900 0.5748 0.2489
Li 0.5100 0.4252 0.7511
Li 0.9900 0.9252 0.7489
Th 0.0000 0.5000 0.5000
Th 0.5000 0.0000 0.0000
Np 0.0000 0.5000 0.0000
Np 0.5000 0.0000 0.5000
O 0.8611 0.4828 0.7647
O 0.8422 0.2028 0.0632
O 0.8076 0.1738 0.4296
O 0.6924 0.6738 0.0704
O 0.6578 0.7028 0.4368
O 0.6389 0.9828 0.7353
O 0.3611 0.0172 0.2647
O 0.3422 0.2972 0.5632
O 0.3076 0.3262 0.9296
O 0.1578 0.7972 0.9368
O 0.1924 0.8262 0.5704
O 0.1389 0.5172 0.2353

Record 6
This record from Alexandria via LeMat-Bulk describes Ce4As2Cl3 after structural relaxation. The functional is PBE.

- Uncorrected formation energy: -14.930 eV per formula unit
- Electronic total energy: -53.50 eV for the cell shown

Cell lengths 4.1860, 4.1860, 16.5913 Å; angles 90.05, 89.95, 120.00 degrees
Fractional positions:
Ce 0.3336 0.6664 0.9010
Ce 0.9993 0.0007 0.2997
Ce 0.0007 0.9993 0.7003
Ce 0.6664 0.3336 0.0990
As 0.6671 0.3329 0.8002
As 0.3329 0.6671 0.1998
Cl 0.6657 0.3343 0.3977
Cl 0.0000 0.0000 0.0000
Cl 0.3343 0.6657 0.6023

Record 7
This record from Alexandria via LeMat-Bulk describes Rb2TiGaP after structural relaxation. The functional is PBE.

- DFT formation energy: 477 meV/atom
- Electronic total energy: -15.88 eV for the cell shown

Cell lengths 6.8441, 4.6847, 6.8441 Å; angles 90.00, 90.00, 90.00 degrees
Fractional positions:
P 0.0000 0.5000 0.0000
Ga 0.5000 0.5000 0.5000
Rb 0.0000 0.0000 0.5000
Rb 0.5000 0.0000 0.0000
Ti 0.0000 0.0000 0.0000

Record 8
This record from Alexandria via LeMat-Bulk describes Zr2AlSi after structural relaxation. The functional is PBE.

- Uncorrected formation energy: -0.774 eV per formula unit
- Electronic total energy: -54.07 eV for the cell shown

Cell lengths 4.0899, 4.0899, 11.0729 Å; angles 90.00, 90.00, 120.00 degrees
Fractional positions:
Zr 0.3333 0.6667 0.6011
Zr 0.6667 0.3333 0.1011
Zr 0.6667 0.3333 0.3989
Zr 0.3333 0.6667 0.8989
Al 0.3333 0.6667 0.2500
Al 0.6667 0.3333 0.7500
Si 0.0000 0.0000 0.2500
Si 0.0000 0.0000 0.7500

Record 9
This record from Alexandria via LeMat-Bulk describes RbBaI2O8 after structural relaxation. The functional is PBE.

- Uncorrected formation energy: -10.517 eV per formula unit
- Electronic total energy: -56.17 eV for the cell shown

Cell lengths 6.6228, 6.6238, 8.1449 Å; angles 57.90, 66.01, 60.00 degrees
Fractional positions:
Rb 0.5000 0.5000 0.5000
Ba 0.0000 0.0000 0.0000
I 0.2824 0.2446 0.1906
I 0.7176 0.7554 0.8094
O 0.8905 0.5078 0.7113
O 0.6715 0.5800 0.0769
O 0.1095 0.4922 0.2887
O 0.3285 0.4200 0.9231
O 0.5762 0.0301 0.2592
O 0.4238 0.9699 0.7408
O 0.1345 0.0301 0.2592
O 0.8655 0.9699 0.7408

Record 10
This record from Alexandria via LeMat-Bulk describes AcMg2Zn after structural relaxation. The functional is PBE.

- DFT formation energy: -170 meV/atom
- Electronic total energy: -18.51 eV for the cell shown

Cell lengths 4.6734, 6.1433, 8.0518 Å; angles 90.00, 90.00, 112.60 degrees
Fractional positions:
Ac 0.9400 0.8785 0.2500
Ac 0.0600 0.1215 0.7500
Mg 0.3508 0.7011 0.5576
Mg 0.6492 0.2989 0.4424
Mg 0.3508 0.7011 0.9424
Mg 0.6492 0.2989 0.0576
Zn 0.7732 0.5451 0.7500
Zn 0.2268 0.4549 0.2500

Record 11
This record from Alexandria via LeMat-Bulk describes Ac2Al4NiPt3 after structural relaxation. The functional is PBE.

- DFT formation energy: -952 meV/atom
- Electronic total energy: -56.61 eV for the cell shown

Cell lengths 4.4131, 4.4131, 10.3979 Å; angles 90.00, 90.00, 90.00 degrees
Fractional positions:
Ac 0.5000 0.0000 0.2546
Ac 0.0000 0.5000 0.7454
Al 0.5000 0.5000 0.0000
Al 0.0000 0.0000 0.0000
Al 0.5000 0.0000 0.6148
Al 0.0000 0.5000 0.3852
Ni 0.5000 0.5000 0.5000
Pt 0.0000 0.0000 0.5000
Pt 0.5000 0.0000 0.8678
Pt 0.0000 0.5000 0.1322

Record 12
This record from Alexandria via LeMat-Bulk describes PaCdGaAu after structural relaxation. The functional is PBE.

- DFT formation energy: -241 meV/atom
- Electronic total energy: -17.68 eV for the cell shown

Cell lengths 4.9401, 4.9401, 4.9401 Å; angles 60.00, 60.00, 60.00 degrees
Fractional positions:
Pa 0.2500 0.2500 0.2500
Au 0.5000 0.5000 0.5000
Ga 0.0000 0.0000 0.0000
Cd 0.7500 0.7500 0.7500